[1]
Compound: Al2TlGa2
Source: Alexandria via LeMat-Bulk
Functional: PBE
Structure: relaxed

Output
D(E_F): 1.68 states/eV/f.u.
Space-group type: No. 127
Formation energy: 0.09 eV/atom
Excess energy over the best structure of this formula in the dataset: 0.040 eV/atom
Total magnetic moment: 0.000 μB per formula unit

Cell: 8.2301 8.2301 3.0089 Å, 90.00 90.00 90.00°
Closest atoms and distances in Å follow each position.
Positions (direct):
Al (0.1307, 0.3693, 0.0000)  6 Ga 2.84-2.85, 3 Al 3.01-3.04
Al (0.3693, 0.8693, 0.0000)  6 Ga 2.84-2.85, 3 Al 3.01-3.04
Al (0.6307, 0.1307, 0.0000)  6 Ga 2.84-2.85, 3 Al 3.01-3.04
Al (0.8693, 0.6307, 0.0000)  6 Ga 2.84-2.85, 3 Al 3.01-3.04
Tl (0.0000, 0.0000, 0.0000)  2 Tl 3.01, 4 Al 3.22
Tl (0.5000, 0.5000, 0.0000)  2 Tl 3.01, 4 Al 3.22
Ga (0.1621, 0.6621, 0.5000)  6 Al 2.84-2.85, 2 Ga 3.01
Ga (0.3379, 0.1621, 0.5000)  6 Al 2.84-2.85, 2 Ga 3.01
Ga (0.6621, 0.8379, 0.5000)  6 Al 2.84-2.85, 2 Ga 3.01
Ga (0.8379, 0.3379, 0.5000)  6 Al 2.84-2.85, 2 Ga 3.01

[2]
Compound: Al2Tl2Ga
Source: Alexandria via LeMat-Bulk
Functional: PBE
Structure: relaxed

Output
D(E_F): 2.16 states/eV/f.u.
Space-group type: No. 127
Formation energy: 0.34 eV/atom
Excess energy over the best structure of this formula in the dataset: 0.187 eV/atom
Total magnetic moment: 0.000 μB per formula unit

Cell: 8.4988 8.4988 3.3868 Å, 90.00 90.00 90.00°
Closest atoms and distances in Å follow each position.
Positions (direct):
Al (0.1159, 0.3841, 0.0000)  1 Al 2.79, 6 Tl 2.96-3.10
Al (0.3841, 0.8841, 0.0000)  1 Al 2.79, 6 Tl 2.96-3.10
Al (0.6159, 0.1159, 0.0000)  1 Al 2.79, 6 Tl 2.96-3.10
Al (0.8841, 0.6159, 0.0000)  1 Al 2.79, 6 Tl 2.96-3.10
Tl (0.1821, 0.6821, 0.5000)  6 Al 2.96-3.10, 2 Ga 3.11
Tl (0.3179, 0.1821, 0.5000)  6 Al 2.96-3.10, 2 Ga 3.11
Tl (0.6821, 0.8179, 0.5000)  6 Al 2.96-3.10, 2 Ga 3.11
Tl (0.8179, 0.3179, 0.5000)  6 Al 2.96-3.10, 2 Ga 3.11
Ga (0.0000, 0.0000, 0.5000)  4 Tl 3.11, 2 Ga 3.39
Ga (0.5000, 0.5000, 0.5000)  4 Tl 3.11, 2 Ga 3.39

[3]
Compound: Al2Tl2Ga
Source: Alexandria via LeMat-Bulk
Functional: PBE
Structure: relaxed

Output
D(E_F): 2.19 states/eV/f.u.
Space-group type: No. 139
Formation energy: 0.25 eV/atom
Excess energy over the best structure of this formula in the dataset: 0.090 eV/atom
Total magnetic moment: 0.000 μB per formula unit

Cell: 9.1564 9.1564 9.1564 Å, 156.13 156.13 34.01°
Closest atoms and distances in Å follow each position.
Positions (direct):
Al (0.2500, 0.7500, 0.5000)  4 Al 2.68
Al (0.7500, 0.2500, 0.5000)  4 Al 2.68
Tl (0.1035, 0.1035, 0.0000)  4 Al 3.19, 4 Ga 3.23
Tl (0.8965, 0.8965, 0.0000)  4 Al 3.19, 4 Ga 3.23
Ga (0.5000, 0.5000, 0.0000)  8 Tl 3.23

[4]
Compound: AlTlGa2
Source: Alexandria via LeMat-Bulk
Functional: PBE
Structure: relaxed

Output
D(E_F): 1.93 states/eV/f.u.
Space-group type: No. 122
Formation energy: 0.18 eV/atom
Excess energy over the best structure of this formula in the dataset: 0.114 eV/atom
Total magnetic moment: 0.000 μB per formula unit

Cell: 6.3029 6.3029 6.3029 Å, 102.12 102.12 125.45°
Closest atoms and distances in Å follow each position.
Positions (direct):
Al (0.0000, 0.0000, 0.0000)  4 Ga 2.68, 2 Tl 2.89
Al (0.7500, 0.2500, 0.5000)  4 Ga 2.68, 2 Tl 2.89
Tl (0.2500, 0.7500, 0.5000)  2 Al 2.89, 4 Ga 3.12
Tl (0.5000, 0.5000, 0.0000)  2 Al 2.89, 4 Ga 3.12
Ga (0.0839, 0.6250, 0.9589)  2 Al 2.68, 2 Ga 2.96
Ga (0.3750, 0.3339, 0.4589)  2 Al 2.68, 2 Ga 2.96
Ga (0.6661, 0.1250, 0.0411)  2 Al 2.68, 2 Ga 2.96
Ga (0.8750, 0.9161, 0.5411)  2 Al 2.68, 2 Ga 2.96

[5]
Compound: AlTl2Ga
Source: Alexandria via LeMat-Bulk
Functional: PBE
Structure: relaxed

Output
D(E_F): 2.27 states/eV/f.u.
Space-group type: No. 122
Formation energy: 0.28 eV/atom
Excess energy over the best structure of this formula in the dataset: 0.044 eV/atom
Total magnetic moment: 0.000 μB per formula unit

Cell: 6.5516 6.5516 6.5516 Å, 103.14 103.14 123.04°
Closest atoms and distances in Å follow each position.
Positions (direct):
Al (0.0000, 0.0000, 0.0000)  4 Tl 2.94, 2 Ga 3.12
Al (0.7500, 0.2500, 0.5000)  4 Tl 2.94, 2 Ga 3.12
Tl (0.1168, 0.6250, 0.9918)  2 Al 2.94, 2 Ga 3.03, 2 Tl 3.13
Tl (0.3750, 0.3668, 0.4918)  2 Al 2.94, 2 Ga 3.03, 2 Tl 3.13
Tl (0.6332, 0.1250, 0.0082)  2 Al 2.94, 2 Ga 3.03, 2 Tl 3.13
Tl (0.8750, 0.8832, 0.5082)  2 Al 2.94, 2 Ga 3.03, 2 Tl 3.13
Ga (0.2500, 0.7500, 0.5000)  4 Tl 3.03, 2 Al 3.12
Ga (0.5000, 0.5000, 0.0000)  4 Tl 3.03, 2 Al 3.12

[6]
Compound: Al2Tl2Ga
Source: Alexandria via LeMat-Bulk
Functional: PBE
Structure: relaxed

Output
D(E_F): 2.67 states/eV/f.u.
Space-group type: No. 127
Formation energy: 0.16 eV/atom
Excess energy over the best structure of this formula in the dataset: 0.000 eV/atom
Total magnetic moment: 0.000 μB per formula unit

Cell: 6.8048 6.8048 5.1717 Å, 90.00 90.00 90.00°
Closest atoms and distances in Å follow each position.
Positions (direct):
Al (0.1383, 0.3617, 0.0000)  2 Ga 2.63, 1 Al 2.66
Al (0.3617, 0.8617, 0.0000)  2 Ga 2.63, 1 Al 2.66
Al (0.6383, 0.1383, 0.0000)  2 Ga 2.63, 1 Al 2.66
Al (0.8617, 0.6383, 0.0000)  2 Ga 2.63, 1 Al 2.66
Tl (0.1776, 0.6776, 0.5000)  6 Al 3.13-3.37, 1 Tl 3.42
Tl (0.3224, 0.1776, 0.5000)  6 Al 3.13-3.37, 1 Tl 3.42
Tl (0.6776, 0.8224, 0.5000)  6 Al 3.13-3.37, 1 Tl 3.42
Tl (0.8224, 0.3224, 0.5000)  6 Al 3.13-3.37, 1 Tl 3.42
Ga (0.0000, 0.0000, 0.0000)  4 Al 2.63
Ga (0.5000, 0.5000, 0.0000)  4 Al 2.63

[7]
Compound: AlTlGa2
Source: Alexandria via LeMat-Bulk
Functional: PBE
Structure: relaxed

Output
D(E_F): 0.98 states/eV/f.u.
Space-group type: No. 225
Formation energy: 0.21 eV/atom
Excess energy over the best structure of this formula in the dataset: 0.136 eV/atom
Total magnetic moment: 0.000 μB per formula unit

Cell: 4.9940 4.9940 4.9940 Å, 60.00 60.00 60.00°
Closest atoms and distances in Å follow each position.
Positions (direct):
Al (0.0000, 0.0000, 0.0000)  8 Ga 3.06
Tl (0.5000, 0.5000, 0.5000)  8 Ga 3.06
Ga (0.2500, 0.2500, 0.2500)  4 Tl 3.06, 4 Al 3.06
Ga (0.7500, 0.7500, 0.7500)  4 Tl 3.06, 4 Al 3.06

[8]
Compound: AlTl2Ga
Source: Alexandria via LeMat-Bulk
Functional: PBE
Structure: relaxed

Output
D(E_F): 0.95 states/eV/f.u.
Space-group type: No. 225
Formation energy: 0.23 eV/atom
Excess energy over the best structure of this formula in the dataset: 0.000 eV/atom
Total magnetic moment: 0.000 μB per formula unit

Cell: 5.2020 5.2020 5.2020 Å, 60.00 60.00 60.00°
Closest atoms and distances in Å follow each position.
Positions (direct):
Al (0.0000, 0.0000, 0.0000)  8 Tl 3.19
Tl (0.2500, 0.2500, 0.2500)  4 Ga 3.19, 4 Al 3.19
Tl (0.7500, 0.7500, 0.7500)  4 Al 3.19, 4 Ga 3.19
Ga (0.5000, 0.5000, 0.5000)  8 Tl 3.19

[9]
Compound: Al2TlGa2
Source: Alexandria via LeMat-Bulk
Functional: PBE
Structure: relaxed

Output
D(E_F): 1.57 states/eV/f.u.
Space-group type: No. 139
Formation energy: 0.05 eV/atom
Excess energy over the best structure of this formula in the dataset: 0.000 eV/atom
Total magnetic moment: 0.000 μB per formula unit

Cell: 6.5077 6.5077 6.5077 Å, 141.39 141.39 55.76°
Closest atoms and distances in Å follow each position.
Positions (direct):
Al (0.2500, 0.7500, 0.5000)  4 Ga 2.68
Al (0.7500, 0.2500, 0.5000)  4 Ga 2.68
Tl (0.0000, 0.0000, 0.0000)  8 Ga 3.30, 8 Al 3.59
Ga (0.3884, 0.3884, 0.0000)  1 Ga 2.57, 4 Al 2.68
Ga (0.6116, 0.6116, 0.0000)  1 Ga 2.57, 4 Al 2.68

[10]
Compound: AlTlGa
Source: Alexandria via LeMat-Bulk
Functional: PBE
Structure: relaxed

Output
D(E_F): 1.20 states/eV/f.u.
Space-group type: No. 74
Formation energy: 0.13 eV/atom
Excess energy over the best structure of this formula in the dataset: 0.000 eV/atom
Total magnetic moment: 0.000 μB per formula unit

Cell: 5.7383 5.7383 5.7383 Å, 120.83 117.12 91.82°
Closest atoms and distances in Å follow each position.
Positions (direct):
Al (0.5000, 0.0000, 0.0000)  2 Al 2.83, 4 Ga 2.87
Al (0.5000, 0.5000, 0.5000)  2 Al 2.83, 4 Ga 2.87
Tl (0.1270, 0.3770, 0.7500)  6 Al 3.30-3.46, 6 Ga 3.35-3.36, 4 Tl 3.48-3.58
Tl (0.8730, 0.6230, 0.2500)  6 Al 3.30-3.46, 6 Ga 3.35-3.36, 4 Tl 3.48-3.58
Ga (0.0000, 0.0000, 0.0000)  4 Al 2.87, 2 Ga 2.99
Ga (0.5000, 0.0000, 0.5000)  4 Al 2.87, 2 Ga 2.99

[11]
Compound: AlTl2Ga7
Source: Alexandria via LeMat-Bulk
Functional: PBE
Structure: relaxed

Output
D(E_F): 3.51 states/eV/f.u.
Space-group type: No. 115
Formation energy: 0.02 eV/atom
Total magnetic moment: 0.000 μB per formula unit

Cell: 4.3470 4.3470 11.4913 Å, 90.00 90.00 90.00°
Closest atoms and distances in Å follow each position.
Positions (direct):
Al (0.0000, 0.0000, 0.0000)  4 Ga 2.68
Tl (0.0000, 0.5000, 0.7521)  14 Ga 3.33-3.62, 2 Al 3.58
Tl (0.5000, 0.0000, 0.2479)  14 Ga 3.33-3.62, 2 Al 3.58
Ga (0.0000, 0.0000, 0.5000)  4 Ga 2.69
Ga (0.0000, 0.5000, 0.1368)  3 Ga 2.59-2.68, 2 Al 2.68
Ga (0.0000, 0.5000, 0.3619)  5 Ga 2.59-2.69
Ga (0.5000, 0.0000, 0.6381)  5 Ga 2.59-2.69
Ga (0.5000, 0.0000, 0.8632)  3 Ga 2.59-2.68, 2 Al 2.68
Ga (0.5000, 0.5000, 0.0000)  4 Ga 2.68
Ga (0.5000, 0.5000, 0.5000)  4 Ga 2.69

[12]
Compound: AlTl2Ga2
Source: Alexandria via LeMat-Bulk
Functional: PBE
Structure: relaxed

Output
D(E_F): 2.28 states/eV/f.u.
Space-group type: No. 127
Formation energy: 0.12 eV/atom
Excess energy over the best structure of this formula in the dataset: 0.000 eV/atom
Total magnetic moment: 0.000 μB per formula unit

Cell: 6.8291 6.8291 5.2324 Å, 90.00 90.00 90.00°
Closest atoms and distances in Å follow each position.
Positions (direct):
Al (0.0000, 0.0000, 0.0000)  4 Ga 2.66
Al (0.5000, 0.5000, 0.0000)  4 Ga 2.66
Tl (0.1781, 0.3219, 0.5000)  6 Ga 3.18-3.39, 5 Tl 3.44-3.55
Tl (0.3219, 0.8219, 0.5000)  6 Ga 3.18-3.39, 5 Tl 3.44-3.55
Tl (0.6781, 0.1781, 0.5000)  6 Ga 3.18-3.39, 5 Tl 3.44-3.55
Tl (0.8219, 0.6781, 0.5000)  6 Ga 3.18-3.39, 5 Tl 3.44-3.55
Ga (0.1356, 0.6356, 0.0000)  1 Ga 2.62, 2 Al 2.66
Ga (0.3644, 0.1356, 0.0000)  1 Ga 2.62, 2 Al 2.66
Ga (0.6356, 0.8644, 0.0000)  1 Ga 2.62, 2 Al 2.66
Ga (0.8644, 0.3644, 0.0000)  1 Ga 2.62, 2 Al 2.66

[13]
Compound: AlTlGa2
Source: Alexandria via LeMat-Bulk
Functional: PBE
Structure: relaxed

Output
D(E_F): 2.19 states/eV/f.u.
Space-group type: No. 166
Formation energy: 0.12 eV/atom
Excess energy over the best structure of this formula in the dataset: 0.054 eV/atom
Total magnetic moment: 0.000 μB per formula unit

Cell: 6.3683 6.3683 6.3683 Å, 39.89 39.89 39.89°
Closest atoms and distances in Å follow each position.
Positions (direct):
Al (0.0000, 0.0000, 0.0000)  6 Ga 2.67
Tl (0.5000, 0.5000, 0.5000)  6 Ga 3.22
Ga (0.2813, 0.2813, 0.2813)  3 Al 2.67
Ga (0.7187, 0.7187, 0.7187)  3 Al 2.67

[14]
Compound: AlTlGa
Source: Alexandria via LeMat-Bulk
Functional: PBE
Structure: relaxed

Output
D(E_F): 1.42 states/eV/f.u.
Space-group type: No. 156
Formation energy: 0.17 eV/atom
Excess energy over the best structure of this formula in the dataset: 0.041 eV/atom
Total magnetic moment: 0.000 μB per formula unit

Cell: 4.4613 4.4613 4.2303 Å, 90.00 90.00 120.00°
Closest atoms and distances in Å follow each position.
Positions (direct):
Al (0.0000, 0.0000, 0.0000)  3 Ga 2.58
Tl (0.6667, 0.3333, 0.4982)  6 Al 3.33-3.34, 6 Ga 3.33-3.34
Ga (0.3333, 0.6667, 0.9968)  3 Al 2.58

[15]
Compound: AlTlGa2
Source: Alexandria via LeMat-Bulk
Functional: PBE
Structure: relaxed

Output
D(E_F): 1.60 states/eV/f.u.
Space-group type: No. 160
Formation energy: 0.13 eV/atom
Excess energy over the best structure of this formula in the dataset: 0.059 eV/atom
Total magnetic moment: 0.000 μB per formula unit

Cell: 6.1488 6.1488 6.1488 Å, 42.01 42.01 42.01°
Closest atoms and distances in Å follow each position.
Positions (direct):
Al (0.0000, 0.0000, 0.0000)  6 Ga 2.65-2.78
Tl (0.1827, 0.1827, 0.1827)  1 Al 3.07, 6 Ga 3.12-3.20
Ga (0.4004, 0.4004, 0.4004)  3 Al 2.78
Ga (0.6236, 0.6236, 0.6236)  3 Al 2.65

[16]
Compound: AlTl2Ga
Source: Alexandria via LeMat-Bulk
Functional: PBE
Structure: relaxed

Output
D(E_F): 2.39 states/eV/f.u.
Space-group type: No. 166
Formation energy: 0.26 eV/atom
Excess energy over the best structure of this formula in the dataset: 0.023 eV/atom
Total magnetic moment: 0.000 μB per formula unit

Cell: 11.3381 11.3381 11.3381 Å, 16.40 16.40 16.40°
Closest atoms and distances in Å follow each position.
Positions (direct):
Al (0.0000, 0.0000, 0.0000)  2 Tl 2.93, 6 Al 3.23
Tl (0.0872, 0.0872, 0.0872)  1 Al 2.93, 6 Tl 3.23, 3 Ga 3.26
Tl (0.9128, 0.9128, 0.9128)  1 Al 2.93, 6 Tl 3.23, 3 Ga 3.26
Ga (0.5000, 0.5000, 0.5000)  6 Ga 3.23, 6 Tl 3.26

[17]
Compound: AlTlGa2
Source: Alexandria via LeMat-Bulk
Functional: PBE
Structure: relaxed

Output
D(E_F): 1.80 states/eV/f.u.
Space-group type: No. 123
Formation energy: 0.19 eV/atom
Excess energy over the best structure of this formula in the dataset: 0.123 eV/atom
Total magnetic moment: 0.000 μB per formula unit

Cell: 5.2200 5.2200 3.1893 Å, 90.00 90.00 90.00°
Closest atoms and distances in Å follow each position.
Positions (direct):
Al (0.0000, 0.0000, 0.0000)  8 Ga 3.06, 2 Al 3.19
Tl (0.5000, 0.5000, 0.0000)  8 Ga 3.06, 2 Tl 3.19
Ga (0.0000, 0.5000, 0.5000)  4 Tl 3.06, 4 Al 3.06, 2 Ga 3.19
Ga (0.5000, 0.0000, 0.5000)  4 Tl 3.06, 4 Al 3.06, 2 Ga 3.19

[18]
Compound: Al4TlGa
Source: Alexandria via LeMat-Bulk
Functional: PBE
Structure: relaxed

Output
D(E_F): 1.91 states/eV/f.u.
Space-group type: No. 216
Formation energy: 0.19 eV/atom
Total magnetic moment: 0.000 μB per formula unit

Cell: 5.5821 5.5821 5.5821 Å, 60.00 60.00 60.00°
Closest atoms and distances in Å follow each position.
Positions (direct):
Al (0.3755, 0.3755, 0.3755)  6 Al 2.78-2.80
Al (0.3755, 0.3755, 0.8735)  6 Al 2.78-2.80
Al (0.3755, 0.8735, 0.3755)  6 Al 2.78-2.80
Al (0.8735, 0.3755, 0.3755)  6 Al 2.78-2.80
Tl (0.0000, 0.0000, 0.0000)  12 Al 3.27, 4 Ga 3.42
Ga (0.7500, 0.7500, 0.7500)  12 Al 3.27, 4 Tl 3.42

[19]
Compound: Al2Tl3Ga9
Source: Alexandria via LeMat-Bulk
Functional: PBE
Structure: relaxed

Output
D(E_F): 5.29 states/eV/f.u.
Space-group type: No. 71
Formation energy: 0.06 eV/atom
Total magnetic moment: 0.000 μB per formula unit

Cell: 8.5825 8.5825 8.5825 Å, 149.89 104.70 83.18°
Closest atoms and distances in Å follow each position.
Positions (direct):
Al (0.1801, 0.0000, 0.1801)  8 Ga 2.81-2.92
Al (0.8199, 0.0000, 0.8199)  8 Ga 2.81-2.92
Tl (0.2023, 0.2023, 0.0000)  10 Ga 3.19-3.42, 2 Al 3.21
Tl (0.5000, 0.5000, 0.0000)  12 Ga 3.33-3.47
Tl (0.7977, 0.7977, 0.0000)  10 Ga 3.19-3.42, 2 Al 3.21
Ga (0.0000, 0.5000, 0.5000)  4 Ga 2.86, 4 Al 2.92
Ga (0.0781, 0.3628, 0.7153)  4 Ga 2.74-2.86, 2 Al 2.87
Ga (0.2072, 0.8419, 0.3654)  4 Ga 2.74-2.82, 1 Al 2.81
Ga (0.3525, 0.6372, 0.7153)  4 Ga 2.74-2.86, 2 Al 2.87
Ga (0.4765, 0.8419, 0.6346)  4 Ga 2.74-2.82, 1 Al 2.81
Ga (0.5235, 0.1581, 0.3654)  4 Ga 2.74-2.82, 1 Al 2.81
Ga (0.6475, 0.3628, 0.2847)  4 Ga 2.74-2.86, 2 Al 2.87
Ga (0.7928, 0.1581, 0.6346)  4 Ga 2.74-2.82, 1 Al 2.81
Ga (0.9219, 0.6372, 0.2847)  4 Ga 2.74-2.86, 2 Al 2.87

[20]
Compound: AlTlZnGa2
Source: Alexandria via LeMat-Bulk
Functional: PBE
Structure: relaxed

Output
D(E_F): 2.47 states/eV/f.u.
Space-group type: No. 123
Formation energy: 0.43 eV/atom
Total magnetic moment: 0.000 μB per formula unit

Cell: 4.9576 4.9576 5.5084 Å, 90.00 90.00 90.00°
Closest atoms and distances in Å follow each position.
Positions (direct):
Al (0.0000, 0.0000, 0.0000)  4 Ga 2.48, 2 Tl 2.75
Tl (0.0000, 0.0000, 0.5000)  2 Al 2.75
Zn (0.5000, 0.5000, 0.5000)  4 Tl 3.51, 8 Ga 3.71
Ga (0.0000, 0.5000, 0.0000)  2 Al 2.48
Ga (0.5000, 0.0000, 0.0000)  2 Al 2.48